# 1
The following is a DFT calculation (GGA-PBE) of an optimized crystal structure of P2Se4Br3.

abc: 8.5855 8.5855 8.7806
angles: 92.34 92.34 83.26
With the nearest neighbours (Å) after each atom.
Positions (direct):
P  0.0776  0.3331  0.0442  3 Se 2.28-2.34
P  0.3331  0.0776  0.5442  3 Se 2.28-2.34
P  0.6669  0.9224  0.4558  3 Se 2.28-2.34
P  0.9224  0.6669  0.9558  3 Se 2.28-2.34
Se  0.1603  0.1977  0.3601  1 P 2.34, 1 Br 2.47
Se  0.1733  0.5689  0.0338  2 P 2.28-2.31
Se  0.1977  0.1603  0.8601  1 P 2.34, 1 Br 2.47
Se  0.4311  0.8267  0.4662  2 P 2.28-2.31
Se  0.5689  0.1733  0.5338  2 P 2.28-2.31
Se  0.8023  0.8397  0.1399  1 P 2.34, 1 Br 2.47
Se  0.8267  0.4311  0.9662  2 P 2.28-2.31
Se  0.8397  0.8023  0.6399  1 P 2.34, 1 Br 2.47
Br  0.0902  0.9098  0.2500  2 Se 2.74
Br  0.2414  0.4405  0.4850  1 Se 2.47
Br  0.4405  0.2414  0.9850  1 Se 2.47
Br  0.5595  0.7586  0.0150  1 Se 2.47
Br  0.7586  0.5595  0.5150  1 Se 2.47
Br  0.9098  0.0902  0.7500  2 Se 2.74

Calculated values
uncorrected energy	-3.340	eV/atom
energy relative to the elements, uncorrected	-32	meV per atom
SG	C2/c (15)

=====

# 2
The following is a DFT calculation (GGA-PBE) of an optimized crystal structure of P2SeBr.

abc: 6.6805 6.6805 6.6805
angles: 90.00 90.00 90.00
With the nearest neighbours (Å) after each atom.
Positions (direct):
P  0.0000  0.0000  0.0000  4 P 2.89, 4 Se 2.89
P  0.0000  0.5000  0.5000  4 P 2.89, 4 Se 2.89
P  0.2500  0.2500  0.2500  4 Br 2.89, 4 P 2.89
P  0.2500  0.7500  0.7500  4 Br 2.89, 4 P 2.89
P  0.5000  0.0000  0.5000  4 P 2.89, 4 Se 2.89
P  0.5000  0.5000  0.0000  4 P 2.89, 4 Se 2.89
P  0.7500  0.2500  0.7500  4 Br 2.89, 4 P 2.89
P  0.7500  0.7500  0.2500  4 Br 2.89, 4 P 2.89
Se  0.2500  0.2500  0.7500  4 Br 2.89, 4 P 2.89
Se  0.2500  0.7500  0.2500  4 Br 2.89, 4 P 2.89
Se  0.7500  0.2500  0.2500  4 Br 2.89, 4 P 2.89
Se  0.7500  0.7500  0.7500  4 Br 2.89, 4 P 2.89
Br  0.0000  0.0000  0.5000  4 Se 2.89, 4 P 2.89
Br  0.0000  0.5000  0.0000  4 Se 2.89, 4 P 2.89
Br  0.5000  0.0000  0.0000  4 Se 2.89, 4 P 2.89
Br  0.5000  0.5000  0.5000  4 Se 2.89, 4 P 2.89

Calculated values
uncorrected energy	-3.058	eV/atom
energy relative to the lowest polymorph listed for this composition	0.890	eV per atom
energy relative to the elements, uncorrected	936	meV per atom
SG	F-43m (216)

=====

# 3
The following is a DFT calculation (GGA-PBE) of an optimized crystal structure of PSeBr.

abc: 3.3794 9.5471 14.0486
angles: 90.00 90.00 90.00
With the nearest neighbours (Å) after each atom.
Positions (direct):
P  0.0000  0.0000  0.0000  2 Se 2.30
P  0.0000  0.5000  0.5000  2 Se 2.30
P  0.5000  0.0000  0.5000  2 Se 2.30
P  0.5000  0.5000  0.0000  2 Se 2.30
Se  0.0000  0.0000  0.6107  2 P 2.30
Se  0.0000  0.5000  0.1107  2 P 2.30
Se  0.5000  0.0000  0.1107  2 P 2.30
Se  0.5000  0.5000  0.6107  2 P 2.30
Br  0.0000  0.0000  0.3546  2 P 2.65
Br  0.0000  0.5000  0.8546  2 P 2.65
Br  0.5000  0.0000  0.8546  2 P 2.65
Br  0.5000  0.5000  0.3546  2 P 2.65

Calculated values
uncorrected energy	-3.355	eV/atom
energy relative to the elements, uncorrected	167	meV per atom
SG	Fmm2 (42)

=====

# 4
The following is a DFT calculation (GGA-PBE) of an optimized crystal structure of PSe5Br2.

abc: 5.6864 5.6864 15.3515
angles: 90.00 90.00 90.00
With the nearest neighbours (Å) after each atom.
Positions (direct):
P  0.0000  0.0000  0.0000  5 Se 2.25-2.48
P  0.5000  0.5000  0.5000  5 Se 2.25-2.48
Se  0.0000  0.0000  0.8532  1 P 2.25
Se  0.2285  0.2285  0.5773  1 P 2.48, 2 Se 2.60
Se  0.2285  0.7715  0.5773  1 P 2.48, 2 Se 2.60
Se  0.2715  0.2715  0.0773  1 P 2.48, 2 Se 2.60
Se  0.2715  0.7285  0.0773  1 P 2.48, 2 Se 2.60
Se  0.5000  0.5000  0.3532  1 P 2.25
Se  0.7285  0.2715  0.0773  1 P 2.48, 2 Se 2.60
Se  0.7285  0.7285  0.0773  1 P 2.48, 2 Se 2.60
Se  0.7715  0.2285  0.5773  1 P 2.48, 2 Se 2.60
Se  0.7715  0.7715  0.5773  1 P 2.48, 2 Se 2.60
Br  0.0000  0.5000  0.3434  2 Se 2.85
Br  0.0000  0.5000  0.8434  2 Se 2.85
Br  0.5000  0.0000  0.3434  2 Se 2.85
Br  0.5000  0.0000  0.8434  2 Se 2.85

Calculated values
uncorrected energy	-3.080	eV/atom
energy relative to the elements, uncorrected	193	meV per atom
SG	I4mm (107)

=====

# 5
The following is a DFT calculation (GGA-PBE) of an optimized crystal structure of P2SeBr.

abc: 6.9975 6.9975 7.6816
angles: 90.00 90.00 90.00
With the nearest neighbours (Å) after each atom.
Positions (direct):
P  0.2136  0.2500  0.1250  2 Se 2.49
P  0.2500  0.7136  0.3750  2 Se 2.49
P  0.2500  0.7864  0.8750  2 Se 2.49
P  0.2864  0.2500  0.6250  2 Se 2.49
P  0.7136  0.7500  0.6250  2 Se 2.49
P  0.7500  0.2136  0.8750  2 Se 2.49
P  0.7500  0.2864  0.3750  2 Se 2.49
P  0.7864  0.7500  0.1250  2 Se 2.49
Se  0.0000  0.0000  0.0000  4 P 2.49
Se  0.0000  0.5000  0.2500  4 P 2.49
Se  0.5000  0.0000  0.7500  4 P 2.49
Se  0.5000  0.5000  0.5000  4 P 2.49
Br  0.0000  0.0000  0.5000  4 P 2.83
Br  0.0000  0.5000  0.7500  4 P 2.83
Br  0.5000  0.0000  0.2500  4 P 2.83
Br  0.5000  0.5000  0.0000  4 P 2.83

Calculated values
uncorrected energy	-3.339	eV/atom
energy relative to the lowest polymorph listed for this composition	0.609	eV per atom
energy relative to the elements, uncorrected	655	meV per atom
SG	I-42d (122)

=====

# 6
The following is a DFT calculation (GGA-PBE) of an optimized crystal structure of P2SeBr.

abc: 4.7135 4.7135 3.3802
angles: 90.00 90.00 90.00
With the nearest neighbours (Å) after each atom.
Positions (direct):
P  0.0000  0.5000  0.0000  4 Se 2.90, 4 Br 2.90
P  0.5000  0.0000  0.0000  4 Se 2.90, 4 Br 2.90
Se  0.0000  0.0000  0.5000  8 P 2.90
Br  0.5000  0.5000  0.5000  8 P 2.90

Calculated values
uncorrected energy	-3.070	eV/atom
energy relative to the lowest polymorph listed for this composition	0.878	eV per atom
energy relative to the elements, uncorrected	924	meV per atom
SG	P4/mmm (123)

=====

# 7
The following is a DFT calculation (GGA-PBE) of an optimized crystal structure of P2SeBr.

abc: 2.8496 2.8496 13.6268
angles: 90.00 90.00 90.00
With the nearest neighbours (Å) after each atom.
Positions (direct):
P  0.0000  0.0000  0.0000  4 P 2.36
P  0.5000  0.5000  0.0895  4 P 2.36
Se  0.0000  0.0000  0.3643  4 Se 2.85
Br  0.5000  0.5000  0.6892  4 Br 2.85

Calculated values
uncorrected energy	-3.558	eV/atom
energy relative to the lowest polymorph listed for this composition	0.390	eV per atom
energy relative to the elements, uncorrected	437	meV per atom
SG	P4mm (99)

=====

# 8
The following is a DFT calculation (GGA-PBE) of an optimized crystal structure of P2SeBr.

abc: 5.7178 3.2803 5.8241
angles: 90.00 95.07 90.00
With the nearest neighbours (Å) after each atom.
Positions (direct):
P  0.0000  0.0000  0.0000  1 Se 2.24, 2 P 2.28
P  0.0991  0.5000  0.2634  1 Br 2.25, 2 P 2.28
Se  0.3456  0.0000  0.8475  1 P 2.24
Br  0.7609  0.5000  0.4352  1 P 2.25

Calculated values
uncorrected energy	-3.948	eV/atom
energy relative to the lowest polymorph listed for this composition	0.000	eV per atom
energy relative to the elements, uncorrected	46	meV per atom
SG	Pm (6)

=====

DOS at the Fermi energy / states/eV/atom: 0.279 0.901 0.207 0.628 1.104 0.842 0.677 0.371